1.
Material: PmTmNp2As4
Method: DFT, PBE
State: optimized geometry

abc: 7.156 4.107 7.158
angles: 90.00 109.27 90.00
Space group P2/m (No. 10)
Symmetry-distinct sites (fractional):
Pm 0.000 0.000 0.000 [1 per cell]
Tm 0.000 0.500 0.500 [1 per cell]
Np 0.500 0.000 0.500 [1 per cell]
Np 0.500 0.500 0.000 [1 per cell]
As 0.252 0.000 0.745 [2 per cell]
As 0.256 0.500 0.258 [2 per cell]

---

2.
Material: Pm2TmNpAs4
Method: DFT, PBE
State: optimized geometry

abc: 7.194 4.154 7.209
angles: 90.00 109.30 90.00
Space group P2/m (No. 10)
Symmetry-distinct sites (fractional):
Pm 0.000 0.000 0.000 [1 per cell]
Pm 0.500 0.500 0.000 [1 per cell]
Tm 0.000 0.500 0.500 [1 per cell]
Np 0.500 0.000 0.500 [1 per cell]
As 0.247 0.000 0.738 [2 per cell]
As 0.253 0.500 0.261 [2 per cell]

---

Record order is preserved below.
Formation energy: -1062 -1298 meV per atom